Record 1
A relaxed structure of MoW3. Source: Alexandria, functional GGA-PBE.

a b c (Å): 4.490 4.490 3.189
angles (deg): 90.00 90.00 90.00
Space group P4/mmm (No. 123)
Inequivalent atoms, fractional coordinates:
Mo (0.000, 0.000, 0.000) (multiplicity 1)
W (0.000, 0.500, 0.500) (multiplicity 2)
W (0.500, 0.500, 0.000) (multiplicity 1)

Calculated values
ΔE_f: -10 meV/atom

Record 2
A relaxed structure of Mo4W. Source: Alexandria, functional GGA-PBE.

a b c (Å): 7.082 7.082 3.172
angles (deg): 90.00 90.00 90.00
Space group I4/m (No. 87)
Inequivalent atoms, fractional coordinates:
Mo (0.100, 0.700, 0.000) (multiplicity 8)
W (0.000, 0.000, 0.500) (multiplicity 2)

Calculated values
ΔE_f: -12 meV/atom

Record 3
A relaxed structure of Mo4W5. Source: Alexandria, functional GGA-PBE.

a b c (Å): 8.0801 8.0801 5.2046
angles (deg): 90.00 90.00 120.00
Space group P6_3/mcm (No. 193)
Inequivalent atoms, fractional coordinates:
Mo (0.0000, 0.0000, 0.0000) (multiplicity 2)
Mo (0.0000, 0.3640, 0.2500) (multiplicity 6)
W (0.0000, 0.3032, 0.7500) (multiplicity 6)
W (0.3333, 0.6667, 0.0000) (multiplicity 4)

Calculated values
ΔE_f: 420 meV/atom

Record 4
A relaxed structure of Mo7W. Source: Alexandria, functional GGA-PBE.

a b c (Å): 8.016 8.016 8.016
angles (deg): 90.00 90.00 90.00
Space group Fm-3m (No. 225)
Inequivalent atoms, fractional coordinates:
Mo (0.000, 0.000, 0.000) (multiplicity 4)
Mo (0.000, 0.250, 0.250) (multiplicity 24)
W (0.000, 0.000, 0.500) (multiplicity 4)

Calculated values
ΔE_f: 409 meV/atom

Record 5
A relaxed structure of Mo2W3. Source: Alexandria, functional GGA-PBE.

a b c (Å): 4.3614 4.3614 5.4152
angles (deg): 90.00 90.00 120.00
Space group P-3m1 (No. 164)
Inequivalent atoms, fractional coordinates:
Mo (0.3333, 0.6667, 0.3308) (multiplicity 2)
W (0.0000, 0.0000, 0.5000) (multiplicity 1)
W (0.3333, 0.6667, 0.8466) (multiplicity 2)

Calculated values
ΔE_f: 627 meV/atom

Record 6
A relaxed structure of Mo2W. Source: Alexandria, functional GGA-PBE.

a b c (Å): 6.099 6.099 5.527
angles (deg): 90.00 90.00 90.00
Space group I4/mcm (No. 140)
Inequivalent atoms, fractional coordinates:
Mo (0.160, 0.340, 0.000) (multiplicity 8)
W (0.000, 0.000, 0.250) (multiplicity 4)

Calculated values
ΔE_f: 566 meV/atom